1.
YRe2As after structural relaxation. Source: OQMD via LeMat-Bulk, functional GGA-PBE.

Cell lengths 4.6421, 4.6421, 4.6421 Å; angles 60.00, 60.00, 60.00 degrees
Each line ends with the local moment (μB).
Positions (direct):
As: 0.5000 0.5000 0.5000  0.01
Re: 0.7500 0.7500 0.7500  0.03
Re: 0.0000 0.0000 0.0000  0.20
Y: 0.2500 0.2500 0.2500  0.02

Values from the calculation:
- Symmetry: F-43m
- DFT total energy: -8.569 eV/atom
- Magnetization: 0.08 μB/atom
- Density: 12589 kg/m3

---

2.
Lu2SiC after structural relaxation. Source: OQMD via LeMat-Bulk, functional GGA-PBE.

Cell lengths 6.1104, 6.1104, 14.6783 Å; angles 101.94, 101.94, 59.56 degrees
Positions (direct):
C: 0.1710 0.6642 0.4954
C: 0.0000 0.5000 0.0000
C: 0.5000 0.0000 0.5000
C: 0.3358 0.8290 0.0046
C: 0.8290 0.3358 0.5046
C: 0.6642 0.1710 0.9954
Lu: 0.9755 0.7982 0.9106
Lu: 0.4846 0.6213 0.4068
Lu: 0.3059 0.1346 0.9095
Lu: 0.6213 0.4846 0.9068
Lu: 0.2018 0.0245 0.5894
Lu: 0.0245 0.2018 0.0894
Lu: 0.3787 0.5154 0.0932
Lu: 0.5154 0.3787 0.5932
Lu: 0.1346 0.3059 0.4095
Lu: 0.7982 0.9755 0.4106
Lu: 0.6941 0.8654 0.0905
Lu: 0.8654 0.6941 0.5905
Si: 0.7934 0.2066 0.2500
Si: 0.3995 0.2079 0.2501
Si: 0.7921 0.6005 0.2499
Si: 0.6005 0.7921 0.7499
Si: 0.2079 0.3995 0.7501
Si: 0.2066 0.7934 0.7500

Values from the calculation:
- Symmetry: C2/c
- DFT total energy: -6.411 eV/atom
- Magnetization: 0.00 μB/atom
- Density: 8469 kg/m3

---

3.
ReSnB4 after structural relaxation. Source: OQMD via LeMat-Bulk, functional GGA-PBE.

Cell lengths 4.7721, 4.7721, 4.7721 Å; angles 142.62, 110.80, 81.39 degrees
Positions (direct):
B: 0.0840 0.7469 0.3371
B: 0.4098 0.7469 0.6629
B: 0.9160 0.2531 0.6629
B: 0.5902 0.2531 0.3371
Sn: 0.5000 0.5000 0.0000
Re: 0.0000 0.0000 0.0000

Values from the calculation:
- Energy above the most stable polymorph in this dataset: 290 meV/atom
- Symmetry: Immm
- Magnetization: 0.00 μB/atom
- Density: 9640 kg/m3

---

4.
AlFeAsH6 after structural relaxation. Source: OQMD via LeMat-Bulk, functional GGA-PBE.

Cell lengths 4.4598, 4.4598, 4.4598 Å; angles 60.00, 60.00, 60.00 degrees
Each line ends with the local moment (μB).
Positions (direct):
Fe: 0.7500 0.7500 0.7500  0.60
H: 0.4883 0.0117 0.4883  0.00
H: 0.0117 0.4883 0.4883  -0.01
H: 0.4883 0.4883 0.0117  0.00
H: 0.0117 0.0117 0.4883  0.00
H: 0.4883 0.0117 0.0117  0.00
H: 0.0117 0.4883 0.0117  -0.01
Al: 0.0000 0.0000 0.0000  0.01
As: 0.5000 0.5000 0.5000  0.05

Values from the calculation:
- Symmetry: F-43m
- DFT total energy: -3.747 eV/atom
- Magnetization: 0.08 μB/atom
- Density: 4336 kg/m3

---

5.
Co124Sb after structural relaxation. Source: OQMD via LeMat-Bulk, functional GGA-PBE.

Cell lengths 12.3950, 12.3950, 12.3950 Å; angles 60.00, 60.00, 60.00 degrees
Each line ends with the local moment (μB).
Positions (direct):
Co: 0.3999 0.3999 0.8002  1.64
Co: 0.8002 0.3999 0.3999  1.64
Co: 0.7994 0.9997 0.4015  1.63
Co: 0.2002 0.3999 0.0000  1.64
Co: 0.4015 0.7994 0.9997  1.63
Co: 0.6000 0.8000 0.4000  1.64
Co: 0.5985 0.2006 0.2006  1.63
Co: 0.7994 0.9997 0.7994  1.63
Co: 0.7994 0.7994 0.9997  1.64
Co: 0.7916 0.0000 0.0000  1.50
Co: 0.5985 0.2006 0.0003  1.63
Co: 0.3999 0.2002 0.0000  1.64
Co: 0.0000 0.2083 0.7916  1.51
Co: 0.0000 0.7998 0.6001  1.64
Co: 0.2083 0.7916 0.0000  1.50
Co: 0.6001 0.0000 0.7998  1.64
Co: 0.4000 0.2000 0.8000  1.65
Co: 0.8001 0.1999 0.8001  1.64
Co: 0.3999 0.3999 0.2002  1.64
Co: 0.2083 0.0000 0.0000  1.50
Co: 0.3999 0.3999 0.0000  1.64
Co: 0.4003 0.0000 0.5997  1.62
Co: 0.7994 0.4015 0.9997  1.63
Co: 0.5997 0.0000 0.0000  1.62
Co: 0.4000 0.6000 0.8000  1.65
Co: 0.6001 0.6001 0.6001  1.64
Co: 0.7999 0.6004 0.7999  1.64
Co: 0.3999 0.6001 0.6001  1.64
Co: 0.6001 0.7998 0.0000  1.64
Co: 0.1999 0.1999 0.8001  1.64
Co: 0.3999 0.0000 0.2002  1.64
Co: 0.7994 0.4015 0.7994  1.64
Co: 0.3999 0.0000 0.3999  1.64
Co: 0.6001 0.0000 0.6001  1.64
Co: 0.0000 0.0000 0.4003  1.63
Co: 0.5997 0.0000 0.4003  1.62
Co: 0.3999 0.6001 0.3999  1.64
Co: 0.0000 0.0000 0.2083  1.49
Co: 0.2001 0.3996 0.2001  1.64
Co: 0.3999 0.8002 0.3999  1.64
Co: 0.0003 0.5985 0.2006  1.63
Co: 0.9997 0.4015 0.7994  1.63
Co: 0.2000 0.4000 0.8000  1.64
Co: 0.3999 0.2002 0.3999  1.64
Co: 0.6000 0.4000 0.2000  1.65
Co: 0.0000 0.5997 0.4003  1.63
Co: 0.0000 0.0000 0.5997  1.63
Co: 0.6000 0.2000 0.4000  1.64
Co: 0.0000 0.7916 0.2083  1.51
Co: 0.6001 0.6001 0.0000  1.64
Co: 0.6000 0.8000 0.2000  1.65
Co: 0.0000 0.2002 0.3999  1.64
Co: 0.1999 0.8001 0.1999  1.64
Co: 0.0000 0.3999 0.3999  1.64
Co: 0.2000 0.8000 0.4000  1.65
Co: 0.7916 0.0000 0.2083  1.51
Co: 0.8000 0.6000 0.4000  1.64
Co: 0.0000 0.6001 0.6001  1.64
Co: 0.9997 0.7994 0.7994  1.63
Co: 0.2006 0.2006 0.0003  1.64
Co: 0.0000 0.0000 0.7916  1.49
Co: 0.4000 0.6000 0.2000  1.65
Co: 0.4015 0.7994 0.7994  1.63
Co: 0.8000 0.2000 0.4000  1.64
Co: 0.6000 0.2000 0.8000  1.65
Co: 0.4003 0.0000 0.0000  1.62
Co: 0.6001 0.1998 0.6001  1.64
Co: 0.8000 0.4000 0.2000  1.64
Co: 0.0000 0.3999 0.2002  1.64
Co: 0.6001 0.6001 0.1998  1.64
Co: 0.2006 0.2006 0.5985  1.63
Co: 0.0000 0.7916 0.0000  1.51
Co: 0.2006 0.5985 0.0003  1.63
Co: 0.2083 0.0000 0.7916  1.51
Co: 0.7994 0.7994 0.4015  1.63
Co: 0.2001 0.2001 0.3996  1.64
Co: 0.8000 0.6000 0.2000  1.64
Co: 0.6000 0.4000 0.8000  1.65
Co: 0.4000 0.2000 0.6000  1.64
Co: 0.1998 0.6001 0.6001  1.64
Co: 0.1999 0.8001 0.8001  1.64
Co: 0.2000 0.6000 0.8000  1.64
Co: 0.7999 0.7999 0.6004  1.64
Co: 0.4000 0.8000 0.6000  1.64
Co: 0.0000 0.4003 0.5997  1.63
Co: 0.8001 0.1999 0.1999  1.64
Co: 0.2000 0.6000 0.4000  1.65
Co: 0.7998 0.6001 0.6001  1.64
Co: 0.7999 0.7999 0.7999  1.64
Co: 0.4000 0.8000 0.2000  1.65
Co: 0.0003 0.2006 0.2006  1.63
Co: 0.5997 0.4003 0.0000  1.62
Co: 0.0000 0.4003 0.0000  1.63
Co: 0.4003 0.5997 0.0000  1.62
Co: 0.7998 0.0000 0.6001  1.64
Co: 0.0000 0.5997 0.0000  1.63
Co: 0.8001 0.8001 0.1999  1.64
Co: 0.0000 0.6001 0.7998  1.64
Co: 0.2000 0.8000 0.6000  1.64
Co: 0.4015 0.9997 0.7994  1.62
Co: 0.3996 0.2001 0.2001  1.63
Co: 0.6001 0.3999 0.6001  1.64
Co: 0.2002 0.0000 0.3999  1.64
Co: 0.3999 0.3999 0.3999  1.64
Co: 0.2001 0.2001 0.2001  1.64
Co: 0.8000 0.4000 0.6000  1.65
Co: 0.2000 0.4000 0.6000  1.64
Co: 0.6001 0.6001 0.7998  1.64
Co: 0.0003 0.2006 0.5985  1.63
Co: 0.2006 0.0003 0.5985  1.63
Co: 0.2002 0.3999 0.3999  1.64
Co: 0.6001 0.7998 0.6001  1.64
Co: 0.7998 0.6001 0.0000  1.64
Co: 0.8000 0.2000 0.6000  1.65
Co: 0.0000 0.2083 0.0000  1.51
Co: 0.6004 0.7999 0.7999  1.63
Co: 0.2006 0.5985 0.2006  1.64
Co: 0.3999 0.3999 0.6001  1.63
Co: 0.9997 0.7994 0.4015  1.63
Co: 0.7916 0.2083 0.0000  1.50
Co: 0.6001 0.3999 0.3999  1.64
Co: 0.6001 0.6001 0.3999  1.63
Co: 0.5985 0.0003 0.2006  1.62
Co: 0.2006 0.0003 0.2006  1.63
Sb: 0.0000 0.0000 0.0000  -0.05

Values from the calculation:
- Symmetry: Fm-3m
- DFT total energy: -7.060 eV/atom
- Magnetization: 1.60 μB/atom
- Density: 9162 kg/m3

---

6.
Tm3LuSn2C2 after structural relaxation. Source: OQMD via LeMat-Bulk, functional GGA-PBE.

Cell lengths 3.5562, 3.5562, 15.5484 Å; angles 90.00, 90.00, 120.00 degrees
Positions (direct):
Tm: 0.6667 0.3333 0.0837
Tm: 0.0000 0.0000 0.5842
Tm: 0.6667 0.3333 0.4158
C: 0.3333 0.6667 0.5001
C: 0.3333 0.6667 0.9992
Sn: 0.0000 0.0000 0.2499
Sn: 0.6667 0.3333 0.7507
Lu: 0.0000 0.0000 0.9164

Values from the calculation:
- Symmetry: P3m1
- DFT total energy: -6.150 eV/atom
- Magnetization: 0.00 μB/atom
- Density: 9197 kg/m3